Record 1
LaTa2NO5 | PBE | relaxed

Cell and atoms, written as extended XYZ:
```
36
Lattice="5.5252 0.0000 0.0000 0.0000 11.3105 0.0000 -0.0114 0.0000 7.7122" Properties=species:S:1:pos:R:3 pbc="T T T"
La 1.1063 0.0000 7.7101
La 1.6109 10.4376 3.8668
La 3.9030 4.7824 3.8454
La 4.4076 5.6552 0.0021
Ta 1.1415 3.5971 1.9439
Ta 1.2214 3.6665 5.7635
Ta 1.5738 6.9682 5.7290
Ta 1.6049 6.8794 1.9519
Ta 3.9089 1.2242 5.7603
Ta 3.9400 1.3129 1.9831
Ta 4.2924 9.3218 1.9486
Ta 4.3724 9.2524 5.7683
N 0.6742 8.5742 5.3792
N 1.6459 3.6366 3.8603
N 3.8679 9.2918 3.8519
N 4.8397 2.9190 2.3329
O 0.1222 5.5910 2.2024
O 0.1526 5.5505 5.5190
O 0.5510 3.9285 7.7068
O 0.6530 8.5177 2.3182
O 1.1426 6.8842 0.0070
O 2.0927 1.9624 1.4702
O 2.1030 1.9893 6.2437
O 2.2199 6.6564 3.8479
O 2.6343 5.0431 1.6432
O 2.7061 4.9312 6.0811
O 2.8078 10.5864 1.6310
O 2.8796 10.6983 6.0689
O 3.2940 1.0011 3.8643
O 3.4109 7.6445 1.4685
O 3.4212 7.6176 6.2420
O 4.3712 1.2290 7.7051
O 4.8609 2.8624 5.3940
O 4.9629 9.5838 0.0054
O 5.3612 11.2057 2.1932
O 5.3917 11.2462 5.5098
```

Space group ... P2_1 (4)
VASP energy ... -9.643 eV per atom
Fermi-level density of states ... 0.000 states/eV per atom

***

Record 2
LaTcNO2 | PBE | relaxed

Cell and atoms, written as extended XYZ:
```
5
Lattice="4.4323 0.0000 0.0000 0.0000 4.4323 0.0000 0.0000 0.0000 4.4524" Properties=species:S:1:pos:R:3 pbc="T T T"
La 0.0000 0.0000 0.0000
Tc 2.2161 2.2161 2.2262
N 0.0000 0.0000 2.2262
O 0.0000 2.2161 0.0000
O 2.2161 0.0000 0.0000
```

Space group ... P4/mmm (123)
VASP energy ... -6.494 eV per atom
Fermi-level density of states ... 0.486 states/eV per atom

***

Record 3
LaTcNO2 | PBE | relaxed

Cell and atoms, written as extended XYZ:
```
5
Lattice="4.0417 0.0000 0.0000 0.0000 4.0417 0.0000 0.0000 0.0000 3.8791" Properties=species:S:1:pos:R:3 pbc="T T T"
La 0.0000 0.0000 0.0000
Tc 2.0209 2.0209 1.9396
N 2.0209 2.0209 0.0000
O 0.0000 2.0209 1.9396
O 2.0209 0.0000 1.9396
```

Space group ... P4/mmm (123)
VASP energy ... -8.386 eV per atom
Fermi-level density of states ... 0.494 states/eV per atom

***

Record 4
LaTcNO2 | PBE | relaxed

Cell and atoms, written as extended XYZ:
```
5
Lattice="4.4310 0.0000 0.0000 0.0000 4.4310 0.0000 0.0000 0.0000 3.6510" Properties=species:S:1:pos:R:3 pbc="T T T"
La 0.0000 0.0000 0.0000
Tc 2.2155 2.2155 0.0000
N 2.2155 2.2155 1.8255
O 0.0000 2.2155 1.8255
O 2.2155 0.0000 1.8255
```

Space group ... P4/mmm (123)
VASP energy ... -6.938 eV per atom
Fermi-level density of states ... 0.587 states/eV per atom

***

Record 5
LaTe2NO | PBE | relaxed

Cell and atoms, written as extended XYZ:
```
5
Lattice="4.4004 0.0000 0.0000 0.0000 4.4004 0.0000 0.0000 0.0000 5.5140" Properties=species:S:1:pos:R:3 pbc="T T T"
La 0.0000 0.0000 0.0000
Te 0.0000 2.2002 2.7570
Te 2.2002 0.0000 2.7570
N 2.2002 2.2002 0.0000
O 2.2002 2.2002 2.7570
```

Space group ... P4/mmm (123)
VASP energy ... -4.885 eV per atom
Fermi-level density of states ... 0.497 states/eV per atom

***

Record 6
LaTe2NO | PBE | relaxed

Cell and atoms, written as extended XYZ:
```
5
Lattice="6.5984 0.0000 0.0000 0.0000 6.5984 0.0000 0.0000 0.0000 3.9838" Properties=species:S:1:pos:R:3 pbc="T T T"
La 0.0000 0.0000 0.0000
Te 0.0000 3.2992 0.0000
Te 3.2992 0.0000 0.0000
N 0.0000 0.0000 1.9919
O 3.2992 3.2992 1.9919
```

Space group ... P4/mmm (123)
VASP energy ... -4.114 eV per atom
Fermi-level density of states ... 1.351 states/eV per atom

***

Record 7
La3Ti2N3O4 | PBE | relaxed

Cell and atoms, written as extended XYZ:
```
12
Lattice="-1.9463 2.0034 10.3839 1.9463 -2.0034 10.3839 1.9463 2.0034 -10.3839" Properties=species:S:1:pos:R:3 pbc="T T T"
La 0.0000 0.0000 0.0000
La 0.0000 0.0000 3.7821
La 0.0000 0.0000 16.9856
Ti 0.0000 0.0000 8.4456
Ti 0.0000 0.0000 12.3221
N 1.9463 0.0000 2.0924
N 0.0000 0.0000 10.3839
N 0.0000 2.0034 8.2915
O 0.0000 0.0000 6.1296
O 1.9463 0.0000 8.2282
O 0.0000 2.0034 2.1556
O 0.0000 0.0000 14.6381
```

Space group ... Immm (71)
VASP energy ... -8.770 eV per atom

***

Record 8
LaTiNO2 | PBE | relaxed

Cell and atoms, written as extended XYZ:
```
20
Lattice="5.5741 0.0000 0.0000 0.0000 5.6021 0.0000 -0.0697 0.0000 8.0306" Properties=species:S:1:pos:R:3 pbc="T T T"
La 1.3679 0.0000 1.9367
La 1.3301 5.5398 6.0821
La 4.1743 2.7387 1.9485
La 4.1365 2.8011 6.0940
Ti 1.3549 2.7700 4.1293
Ti 1.4093 2.7742 8.0061
Ti 4.0951 5.5753 0.0245
Ti 4.1495 5.5710 3.9013
N 1.3128 2.8875 5.9927
N 2.5411 4.3282 0.1286
N 2.9633 1.5272 7.9020
N 4.1916 0.0864 2.0379
O 0.2122 0.9540 7.9040
O 0.2700 4.3991 3.8703
O 1.3033 2.4471 2.0223
O 2.4720 1.0115 4.1549
O 3.0323 3.8125 3.8757
O 4.2011 5.2482 6.0083
O 5.2344 1.5980 4.1603
O 5.2922 3.7550 0.1266
```

Space group ... P2_1 (4)
VASP energy ... -8.908 eV per atom

***

no.,formation energy (no corrections) (eV per formula unit)
1,-25.0
2,1.1
3,-8.4
4,-1.2
5,0.1
6,3.9
7,-29.9
8,-13.5